1.
DFT (PBE-GGA) results for an optimized crystal structure of LaTb3Y2S6.

E_form (uncorrected): -2.03 eV/atom

a = 6.8737 Å, b = 6.8737 Å, c = 6.8596 Å
α = 99.62°, β = 99.62°, γ = 120.17°
Atoms (fractional coordinates):
Tb1 0.8370 0.1630 0.5000
Tb2 0.1630 0.8370 0.5000
Tb3 0.5000 0.5000 0.5000
Y1 0.6669 0.3331 0.0000
Y2 0.3331 0.6669 0.0000
S1 0.0856 0.4291 0.2563
S2 0.2596 0.2596 0.7475
S3 0.9144 0.5709 0.7437
S4 0.7404 0.7404 0.2525
S5 0.5709 0.9144 0.7437
S6 0.4291 0.0856 0.2563
La1 0.0000 0.0000 0.0000


2.
DFT (PBE-GGA) results for an optimized crystal structure of La2TcS.

E_form (uncorrected): -0.42 eV/atom

a = 6.4374 Å, b = 6.4374 Å, c = 7.5173 Å
α = 64.65°, β = 64.65°, γ = 90.00°
Atoms (fractional coordinates):
Tc1 0.0000 0.0000 0.0000
Tc2 0.7500 0.2500 0.5000
La1 0.6719 0.1250 0.2500
La2 0.3750 0.3281 0.7500
La3 0.8750 0.9219 0.7500
La4 0.0781 0.6250 0.2500
S1 0.5000 0.5000 0.0000
S2 0.2500 0.7500 0.5000


> E_form (uncorrected) of number 1 (LaTb3Y2S6)?

-2.03 eV/atom


> The highest E_form (uncorrected) belongs to which entry?

La2TcS


What did the first record say?
DFT (PBE-GGA) results for an optimized crystal structure of LaTb3Y2S6.

E_form (uncorrected): -2.03 eV/atom

a = 6.8737 Å, b = 6.8737 Å, c = 6.8596 Å
α = 99.62°, β = 99.62°, γ = 120.17°
Atoms (fractional coordinates):
Tb1 0.8370 0.1630 0.5000
Tb2 0.1630 0.8370 0.5000
Tb3 0.5000 0.5000 0.5000
Y1 0.6669 0.3331 0.0000
Y2 0.3331 0.6669 0.0000
S1 0.0856 0.4291 0.2563
S2 0.2596 0.2596 0.7475
S3 0.9144 0.5709 0.7437
S4 0.7404 0.7404 0.2525
S5 0.5709 0.9144 0.7437
S6 0.4291 0.0856 0.2563
La1 0.0000 0.0000 0.0000